Record 1
# Ac2ThCuSe5 | Alexandria via LeMat-Bulk | GGA-PBE | optimized geometry
# - Raw formation energy: -1.64 eV/atom
# - SG: Cmc2_1 (36)
data_Ac2ThCuSe5
_cell_length_a 9.192
_cell_length_b 9.192
_cell_length_c 13.027
_cell_angle_alpha 90.00
_cell_angle_beta 90.00
_cell_angle_gamma 153.64
_space_group_name_H-M_alt 'P 1'
_space_group_IT_number 1
_space_group_name_Hall 'P 1'
loop_
_atom_site_label
_atom_site_type_symbol
_atom_site_fract_x
_atom_site_fract_y
_atom_site_fract_z
Ac1 Ac 0.118 0.882 0.500
Ac2 Ac 0.119 0.881 0.853
Ac3 Ac 0.881 0.119 0.353
Ac4 Ac 0.882 0.118 0.000
Th1 Th 0.178 0.822 0.180
Th2 Th 0.822 0.178 0.680
Cu1 Cu 0.445 0.555 0.576
Cu2 Cu 0.555 0.445 0.076
Se1 Se 0.019 0.981 0.167
Se2 Se 0.304 0.696 0.841
Se3 Se 0.311 0.689 0.518
Se4 Se 0.343 0.657 0.176
Se5 Se 0.495 0.505 0.908
Se6 Se 0.505 0.495 0.408
Se7 Se 0.657 0.343 0.676
Se8 Se 0.689 0.311 0.018
Se9 Se 0.696 0.304 0.341
Se10 Se 0.981 0.019 0.667

Record 2
# Cd2In3Pb3 | Alexandria via LeMat-Bulk | GGA-PBE | optimized geometry
# - DFT formation energy: 0.0329 eV/atom
# - SG: Immm (71)
data_Cd2In3Pb3
_cell_length_a 9.609
_cell_length_b 9.609
_cell_length_c 9.609
_cell_angle_alpha 150.05
_cell_angle_beta 149.51
_cell_angle_gamma 43.26
_space_group_name_H-M_alt 'P 1'
_space_group_IT_number 1
_space_group_name_Hall 'P 1'
loop_
_atom_site_label
_atom_site_type_symbol
_atom_site_fract_x
_atom_site_fract_y
_atom_site_fract_z
Cd1 Cd 0.250 0.250 0.000
Cd2 Cd 0.750 0.750 0.000
In1 In 0.000 0.000 0.000
In2 In 0.368 0.868 0.500
In3 In 0.632 0.132 0.500
Pb1 Pb 0.131 0.631 0.500
Pb2 Pb 0.500 0.500 0.000
Pb3 Pb 0.869 0.369 0.500

Record 3
# Rb2HfAsW | Alexandria via LeMat-Bulk | GGA-PBE | optimized geometry
# - DFT formation energy: 1.6928 eV/atom
# - SG: P4/mmm (123)
data_Rb2HfAsW
_cell_length_a 6.429
_cell_length_b 6.429
_cell_length_c 4.978
_cell_angle_alpha 90.00
_cell_angle_beta 90.00
_cell_angle_gamma 90.00
_space_group_name_H-M_alt 'P 1'
_space_group_IT_number 1
_space_group_name_Hall 'P 1'
loop_
_atom_site_label
_atom_site_type_symbol
_atom_site_fract_x
_atom_site_fract_y
_atom_site_fract_z
Rb1 Rb 0.000 0.500 0.000
Rb2 Rb 0.500 0.000 0.000
Hf1 Hf 0.000 0.000 0.500
As1 As 0.500 0.500 0.500
W1 W 0.000 0.000 0.000

Record 4
# Hf3Zr8Nb | Alexandria via LeMat-Bulk | GGA-PBE | optimized geometry
# - DFT formation energy: 0.7777 eV/atom
# - SG: I-42m (121)
data_Hf3Zr8Nb
_cell_length_a 7.513
_cell_length_b 7.513
_cell_length_c 7.513
_cell_angle_alpha 118.44
_cell_angle_beta 118.44
_cell_angle_gamma 92.72
_space_group_name_H-M_alt 'P 1'
_space_group_IT_number 1
_space_group_name_Hall 'P 1'
loop_
_atom_site_label
_atom_site_type_symbol
_atom_site_fract_x
_atom_site_fract_y
_atom_site_fract_z
Hf1 Hf 0.000 0.000 0.000
Hf2 Hf 0.250 0.750 0.500
Hf3 Hf 0.750 0.250 0.500
Zr1 Zr 0.125 0.407 0.000
Zr2 Zr 0.229 0.229 0.530
Zr3 Zr 0.301 0.771 0.000
Zr4 Zr 0.407 0.125 0.000
Zr5 Zr 0.593 0.593 0.719
Zr6 Zr 0.699 0.699 0.470
Zr7 Zr 0.771 0.301 0.000
Zr8 Zr 0.875 0.875 0.281
Nb1 Nb 0.500 0.500 0.000

Let's list N(E_F) in order: 0.118; 0.341; 0.559; 1.591 states/eV/atom.
Let's list raw total energy in order: -103.87; -20.91; -21.03; -98.98 eV for the cell shown.